#a
{"formula": "GdYN", "functional": "GGA-PBE", "state": "optimized geometry", "lattice_angstrom": [[3.533, 0.000, 0.000], [-1.766, 3.060, 0.000], [0.000, 0.000, 6.002]], "species": ["Gd", "Y", "N"], "frac_coords": [[0.000, 0.000, 0.000], [0.333, 0.667, 0.450], [0.667, 0.333, 0.229]], "space_group": "No. 156", "volume_a3_per_atom": 21.626}

#b
{"formula": "GdYN", "functional": "GGA-PBE", "state": "optimized geometry", "lattice_angstrom": [[0.000, 3.026, 3.026], [3.026, 0.000, 3.026], [3.026, 3.026, 0.000]], "species": ["Gd", "Y", "N"], "frac_coords": [[0.000, 0.000, 0.000], [0.500, 0.500, 0.500], [0.750, 0.750, 0.750]], "space_group": "No. 216", "volume_a3_per_atom": 18.473}

Verdict on stability: #a comes out on top.

#a
{"formula": "GdY2N", "functional": "GGA-PBE", "state": "optimized geometry", "lattice_angstrom": [[3.177, 0.000, 0.000], [0.000, 3.177, 0.000], [0.000, 0.000, 8.912]], "species": ["Gd", "Y", "Y", "N"], "frac_coords": [[0.000, 0.000, 0.000], [0.500, 0.500, 0.341], [0.500, 0.500, 0.659], [0.000, 0.000, 0.500]], "space_group": "No. 123", "volume_a3_per_atom": 22.487}

#b
{"formula": "GdY2N", "functional": "GGA-PBE", "state": "optimized geometry", "lattice_angstrom": [[1.736, 1.002, 9.447], [-1.736, 1.002, 9.447], [0.000, -2.004, 9.447]], "species": ["Gd", "Y", "Y", "N"], "frac_coords": [[0.000, 0.000, 0.000], [0.120, 0.120, 0.120], [0.880, 0.880, 0.880], [0.500, 0.500, 0.500]], "space_group": "No. 166", "volume_a3_per_atom": 24.649}

Verdict on stability: #b comes out on top.

#a
{"formula": "NaGd3", "functional": "GGA-PBE", "state": "optimized geometry", "lattice_angstrom": [[7.228, 0.000, 0.000], [-3.614, 6.260, 0.000], [0.000, 0.000, 5.857]], "species": ["Na", "Na", "Gd", "Gd", "Gd", "Gd", "Gd", "Gd"], "frac_coords": [[0.333, 0.667, 0.250], [0.667, 0.333, 0.750], [0.164, 0.329, 0.750], [0.164, 0.836, 0.750], [0.329, 0.164, 0.250], [0.671, 0.836, 0.750], [0.836, 0.164, 0.250], [0.836, 0.671, 0.250]], "space_group": "No. 194", "volume_a3_per_atom": 33.125}

#b
{"formula": "NaGd3", "functional": "GGA-PBE", "state": "optimized geometry", "lattice_angstrom": [[-1.904, 2.890, 5.798], [1.904, -2.890, 5.798], [1.904, 2.890, -5.798]], "species": ["Na", "Gd", "Gd", "Gd"], "frac_coords": [[0.000, 0.000, 0.000], [0.239, 0.739, 0.500], [0.500, 0.500, 0.000], [0.761, 0.261, 0.500]], "space_group": "No. 71", "volume_a3_per_atom": 31.915}

Verdict on stability: #b comes out on top.

#a
{"formula": "Na5GdO4", "functional": "GGA-PBE", "state": "optimized geometry", "lattice_angstrom": [[7.600, 0.000, 0.000], [0.000, 7.940, 0.000], [0.000, 0.000, 5.582]], "species": ["Na", "Na", "Na", "Na", "Na", "Na", "Na", "Na", "Na", "Na", "Gd", "Gd", "O", "O", "O", "O", "O", "O", "O", "O"], "frac_coords": [[0.010, 0.059, 0.246], [0.010, 0.441, 0.246], [0.250, 0.750, 0.286], [0.490, 0.059, 0.246], [0.490, 0.441, 0.246], [0.510, 0.559, 0.754], [0.510, 0.941, 0.754], [0.750, 0.250, 0.714], [0.990, 0.559, 0.754], [0.990, 0.941, 0.754], [0.250, 0.250, 0.720], [0.750, 0.750, 0.280], [0.012, 0.250, 0.933], [0.250, 0.015, 0.511], [0.250, 0.485, 0.511], [0.488, 0.250, 0.933], [0.512, 0.750, 0.067], [0.750, 0.515, 0.489], [0.750, 0.985, 0.489], [0.988, 0.750, 0.067]], "space_group": "No. 59", "volume_a3_per_atom": 16.840}

#b
{"formula": "Na5GdO4", "functional": "GGA-PBE", "state": "optimized geometry", "lattice_angstrom": [[8.459, 0.000, 0.000], [0.000, 6.112, 0.000], [0.000, 0.000, 6.153]], "species": ["Na", "Na", "Na", "Na", "Na", "Na", "Na", "Na", "Na", "Na", "Gd", "Gd", "O", "O", "O", "O", "O", "O", "O", "O"], "frac_coords": [[0.000, 0.158, 0.000], [0.188, 0.094, 0.454], [0.188, 0.594, 0.269], [0.312, 0.406, 0.769], [0.312, 0.906, 0.954], [0.500, 0.842, 0.500], [0.688, 0.406, 0.769], [0.688, 0.906, 0.954], [0.812, 0.094, 0.454], [0.812, 0.594, 0.269], [0.000, 0.657, 0.734], [0.500, 0.343, 0.234], [0.000, 0.309, 0.645], [0.000, 0.769, 0.069], [0.234, 0.755, 0.613], [0.266, 0.245, 0.113], [0.500, 0.231, 0.569], [0.500, 0.691, 0.145], [0.734, 0.245, 0.113], [0.766, 0.755, 0.613]], "space_group": "No. 31", "volume_a3_per_atom": 15.906}

Verdict on stability: #a comes out on top.

#a
{"formula": "NaGdTiO4", "functional": "GGA-PBE", "state": "optimized geometry", "lattice_angstrom": [[3.741, 0.000, 0.000], [0.000, 3.741, 0.000], [0.000, 0.000, 12.910]], "species": ["Na", "Na", "Gd", "Gd", "Ti", "Ti", "O", "O", "O", "O", "O", "O", "O", "O"], "frac_coords": [[0.250, 0.250, 0.083], [0.750, 0.750, 0.917], [0.250, 0.250, 0.394], [0.750, 0.750, 0.606], [0.250, 0.250, 0.766], [0.750, 0.750, 0.234], [0.250, 0.250, 0.566], [0.250, 0.250, 0.904], [0.250, 0.750, 0.272], [0.250, 0.750, 0.728], [0.750, 0.250, 0.272], [0.750, 0.250, 0.728], [0.750, 0.750, 0.096], [0.750, 0.750, 0.434]], "space_group": "No. 129", "volume_a3_per_atom": 12.907}

#b
{"formula": "NaGdTiO4", "functional": "GGA-PBE", "state": "optimized geometry", "lattice_angstrom": [[12.646, 0.000, 0.000], [0.000, 5.424, 0.000], [0.000, 0.000, 5.310]], "species": ["Na", "Na", "Na", "Na", "Gd", "Gd", "Gd", "Gd", "Ti", "Ti", "Ti", "Ti", "O", "O", "O", "O", "O", "O", "O", "O", "O", "O", "O", "O", "O", "O", "O", "O"], "frac_coords": [[0.086, 0.000, 0.250], [0.086, 0.500, 0.750], [0.914, 0.000, 0.750], [0.914, 0.500, 0.250], [0.393, 0.022, 0.250], [0.393, 0.478, 0.750], [0.607, 0.522, 0.250], [0.607, 0.978, 0.750], [0.234, 0.508, 0.250], [0.234, 0.992, 0.750], [0.766, 0.008, 0.250], [0.766, 0.492, 0.750], [0.096, 0.542, 0.250], [0.096, 0.958, 0.750], [0.256, 0.250, 0.000], [0.256, 0.250, 0.500], [0.284, 0.750, 0.000], [0.284, 0.750, 0.500], [0.435, 0.065, 0.750], [0.435, 0.435, 0.250], [0.565, 0.565, 0.750], [0.565, 0.935, 0.250], [0.716, 0.250, 0.000], [0.716, 0.250, 0.500], [0.744, 0.750, 0.000], [0.744, 0.750, 0.500], [0.904, 0.042, 0.250], [0.904, 0.458, 0.750]], "space_group": "No. 57", "volume_a3_per_atom": 13.009}

Verdict on stability: #b comes out on top.

#a
{"formula": "NaGdPb2", "functional": "GGA-PBE", "state": "optimized geometry", "lattice_angstrom": [[0.000, 3.861, 3.861], [3.861, 0.000, 3.861], [3.861, 3.861, 0.000]], "species": ["Na", "Gd", "Pb", "Pb"], "frac_coords": [[0.000, 0.000, 0.000], [0.500, 0.500, 0.500], [0.250, 0.250, 0.250], [0.750, 0.750, 0.750]], "space_group": "No. 225", "volume_a3_per_atom": 28.778}

#b
{"formula": "NaGdPb2", "functional": "GGA-PBE", "state": "optimized geometry", "lattice_angstrom": [[4.959, 0.000, 0.000], [0.000, 4.959, 0.000], [0.000, 0.000, 4.550]], "species": ["Na", "Gd", "Pb", "Pb"], "frac_coords": [[0.000, 0.000, 0.000], [0.500, 0.500, 0.000], [0.000, 0.500, 0.500], [0.500, 0.000, 0.500]], "space_group": "No. 123", "volume_a3_per_atom": 27.970}

#c
{"formula": "NaGdPb2", "functional": "GGA-PBE", "state": "optimized geometry", "lattice_angstrom": [[3.508, 0.000, 0.000], [0.000, 3.508, 0.000], [0.000, 0.000, 9.494]], "species": ["Na", "Gd", "Pb", "Pb"], "frac_coords": [[0.000, 0.000, 0.000], [0.000, 0.000, 0.500], [0.500, 0.500, 0.254], [0.500, 0.500, 0.746]], "space_group": "No. 123", "volume_a3_per_atom": 29.199}

Verdict on stability: #b comes out on top.

#a
{"formula": "NaPmGd2", "functional": "GGA-PBE", "state": "optimized geometry", "lattice_angstrom": [[5.075, 0.000, 0.000], [0.000, 5.075, 0.000], [0.000, 0.000, 5.156]], "species": ["Na", "Pm", "Gd", "Gd"], "frac_coords": [[0.000, 0.000, 0.000], [0.500, 0.500, 0.000], [0.000, 0.500, 0.500], [0.500, 0.000, 0.500]], "space_group": "No. 123", "volume_a3_per_atom": 33.207}

#b
{"formula": "NaPmGd2", "functional": "GGA-PBE", "state": "optimized geometry", "lattice_angstrom": [[3.556, 0.000, 0.000], [0.000, 3.556, 0.000], [0.000, 0.000, 10.734]], "species": ["Na", "Pm", "Gd", "Gd"], "frac_coords": [[0.000, 0.000, 0.000], [0.000, 0.000, 0.500], [0.500, 0.500, 0.267], [0.500, 0.500, 0.733]], "space_group": "No. 123", "volume_a3_per_atom": 33.929}

#c
{"formula": "NaPmGd2", "functional": "GGA-PBE", "state": "optimized geometry", "lattice_angstrom": [[1.775, 1.025, 12.762], [-1.775, 1.025, 12.762], [0.000, -2.050, 12.762]], "species": ["Na", "Pm", "Gd", "Gd"], "frac_coords": [[0.000, 0.000, 0.000], [0.500, 0.500, 0.500], [0.092, 0.092, 0.092], [0.908, 0.908, 0.908]], "space_group": "No. 166", "volume_a3_per_atom": 34.836}

Verdict on stability: #b comes out on top.

#a
{"formula": "NaPrGd2", "functional": "GGA-PBE", "state": "optimized geometry", "lattice_angstrom": [[1.785, 1.031, 12.827], [-1.785, 1.031, 12.827], [0.000, -2.061, 12.827]], "species": ["Na", "Pr", "Gd", "Gd"], "frac_coords": [[0.000, 0.000, 0.000], [0.500, 0.500, 0.500], [0.091, 0.091, 0.091], [0.909, 0.909, 0.909]], "space_group": "No. 166", "volume_a3_per_atom": 35.402}

#b
{"formula": "NaPrGd2", "functional": "GGA-PBE", "state": "optimized geometry", "lattice_angstrom": [[3.582, 0.000, 0.000], [0.000, 3.582, 0.000], [0.000, 0.000, 10.734]], "species": ["Na", "Pr", "Gd", "Gd"], "frac_coords": [[0.000, 0.000, 0.000], [0.000, 0.000, 0.500], [0.500, 0.500, 0.266], [0.500, 0.500, 0.734]], "space_group": "No. 123", "volume_a3_per_atom": 34.432}

#c
{"formula": "NaPrGd2", "functional": "GGA-PBE", "state": "optimized geometry", "lattice_angstrom": [[5.076, 0.000, 0.000], [0.000, 5.076, 0.000], [0.000, 0.000, 5.223]], "species": ["Na", "Pr", "Gd", "Gd"], "frac_coords": [[0.000, 0.000, 0.000], [0.500, 0.500, 0.000], [0.000, 0.500, 0.500], [0.500, 0.000, 0.500]], "space_group": "No. 123", "volume_a3_per_atom": 33.638}

Verdict on stability: #b comes out on top.